No. 1
# K3MgAg

A relaxed structure of K3MgAg (GGA-PBE, Alexandria via LeMat-Bulk).

Values from the calculation:
* formation energy: 5.83 kcal/mol of atoms
* energy above the lowest structure with this stoichiometry: 0.00 eV per formula unit
* mass density: 1.51 Mg/m³

a = 6.5043 Å, b = 6.5043 Å, c = 6.5043 Å
α = 90.00°, β = 90.00°, γ = 90.00°
Fractional coordinates of all 5 atoms:
K 0.0000 0.5000 0.0000
K 0.0000 0.0000 0.5000
K 0.5000 0.0000 0.0000
Mg 0.5000 0.5000 0.5000
Ag 0.0000 0.0000 0.0000


No. 2
# KMg3Ag

A relaxed structure of KMg3Ag (GGA-PBE, Alexandria via LeMat-Bulk).

Values from the calculation:
* formation energy: 1.42 kcal/mol of atoms
* energy above the lowest structure with this stoichiometry: 0.00 eV per formula unit
* mass density: 2.42 Mg/m³

a = 5.3211 Å, b = 5.3211 Å, c = 5.3211 Å
α = 90.00°, β = 90.00°, γ = 90.00°
Fractional coordinates of all 5 atoms:
K 0.5000 0.5000 0.5000
Mg 0.0000 0.5000 0.0000
Mg 0.0000 0.0000 0.5000
Mg 0.5000 0.0000 0.0000
Ag 0.0000 0.0000 0.0000


no.,calculated volume (A^3/atom)
1,55.0
2,30.1